6
Lattice="0.000 4.089 4.089 4.089 0.000 4.089 4.089 4.089 0.000" Properties=species:S:1:pos:R:3 comment="DyTmTi4, relaxed, DFT PBE-GGA" rho_g_cm3=6.3 total_energy_ry_per_atom=-0.481 volume_a3_per_cell=137 pbc="T T T"
Dy 0.000 0.000 0.000
Tm 2.045 2.045 2.045
Ti 5.109 3.070 3.070
Ti 3.070 5.109 3.070
Ti 3.070 3.070 5.109
Ti 5.109 5.109 5.109